(1)
PBE SmSnHgAu, optimized geometry; formation enthalpy at 0 K = -0.525 eV/atom; D(E_F) = 0.3442 states/eV per atom; energy above the lowest structure with this stoichiometry = 0.0027 eV per atom; symmetry = No. 216
1.0
0.000 3.633 3.633
3.633 0.000 3.633
3.633 3.633 0.000
Sm Sn Hg Au
1 1 1 1
direct
0.000 0.000 0.000 Sm
0.500 0.500 0.500 Sn
0.750 0.750 0.750 Hg
0.250 0.250 0.250 Au

(2)
PBE BaCeVN3, optimized geometry; uncorrected formation energy = -99.6 kJ/mol of atoms; D(E_F) = 0.2919 states/eV per atom; symmetry = No. 12
1.0
6.857 -1.932 0.000
6.857 1.932 0.000
-2.030 0.000 7.339
Ba Ce V N
2 2 2 6
direct
0.141 0.141 0.074 Ba
0.859 0.859 0.926 Ba
0.152 0.152 0.560 Ce
0.848 0.848 0.440 Ce
0.492 0.492 0.299 V
0.508 0.508 0.701 V
0.007 0.007 0.295 N
0.331 0.331 0.620 N
0.356 0.356 0.219 N
0.644 0.644 0.781 N
0.669 0.669 0.380 N
0.993 0.993 0.705 N

(3)
PBE Zr3ScPt, optimized geometry; formation enthalpy at 0 K = 0.155 eV/atom; D(E_F) = 1.7266 states/eV per atom; energy above the lowest structure with this stoichiometry = 0.0000 eV per atom; symmetry = No. 221
1.0
5.130 0.000 0.000
0.000 5.130 0.000
0.000 0.000 5.130
Zr Sc Pt
3 1 1
direct
0.000 0.000 0.500 Zr
0.000 0.500 0.000 Zr
0.500 0.000 0.000 Zr
0.500 0.500 0.500 Sc
0.000 0.000 0.000 Pt

(4)
PBE LiReBr, optimized geometry; uncorrected formation energy = 80.1 kJ/mol of atoms; D(E_F) = 0.7776 states/eV per atom; energy above the lowest structure with this stoichiometry = 0.2304 eV per atom; symmetry = No. 187
1.0
4.464 0.000 0.000
-2.232 3.866 0.000
0.000 0.000 2.849
Li Re Br
1 1 1
direct
0.000 0.000 0.000 Li
0.333 0.667 0.500 Re
0.667 0.333 0.500 Br